one.
Material: KCdB3
Method: DFT, PBE
State: relaxed

Structure (POSCAR):
```
KCdB3
1.0
4.924 0.000 0.000
0.000 4.924 0.000
0.000 0.000 4.924
B K Cd
3 1 1
Cartesian
0.000 2.462 0.000
2.462 0.000 0.000
0.000 0.000 2.462
0.000 0.000 0.000
2.462 2.462 2.462
```

Summary:
Space group ... Pm-3m (221)
Total moment ... 0.0 μB per formula unit

---

two.
Material: KCdB3
Method: DFT, PBE
State: relaxed

Structure (POSCAR):
```
KCdB3
1.0
4.623 0.000 0.000
0.000 4.623 0.000
0.000 0.000 4.623
B Cd K
3 1 1
Cartesian
0.000 2.312 0.000
0.000 0.000 2.312
2.312 0.000 0.000
0.000 0.000 0.000
2.312 2.312 2.312
```

Summary:
Space group ... Pm-3m (221)
Total moment ... 0.0 μB per formula unit

---

Energy above the most stable structure, in kJ/mol of atoms: one 104.7; two 0.0